First-principles (SCAN) data for a crystal of MgTaZn2 relaxed with PBEsol, as listed in the Alexandria database.

abc: 2.814 3.866 5.939
angles: 90.00 90.00 90.00
Element x y z (fractional)
Mg 0.500 0.500 0.000
Zn 0.000 0.000 0.262
Zn 0.000 0.000 0.738
Ta 0.500 0.500 0.500

DFT formation energy: 0.0369 eV per atom
SG: Pmmm, No. 47
magnetization: 0.0 μB/cell
crystal system: orthorhombic
electronic total energy: -98.44 eV for the cell shown